[1]
Entry from Alexandria: an optimized crystal structure of Be2BiIr (GGA-PBE).

Lattice parameters (Å, degrees): 4.2316 4.2316 8.4256 75.46 75.46 90.00
Element x y z (fractional)
Be1 0.3750 0.6065 0.7500
Be2 0.3565 0.6250 0.2500
Be3 0.8750 0.6435 0.7500
Be4 0.3935 0.1250 0.2500
Bi1 0.7500 0.2500 0.5000
Bi2 0.0000 0.0000 0.0000
Ir1 0.5000 0.5000 0.0000
Ir2 0.2500 0.7500 0.5000

Properties
calculated volume	17.630	Å³ per atom
energy of formation from the pure elements	1.3	eV per formula unit
space-group type	No. 122

***

[2]
Entry from Alexandria: an optimized crystal structure of Li3Ag2Sn4 (GGA-PBE).

Lattice parameters (Å, degrees): 4.3674 5.1632 9.7807 72.91 89.16 63.91
Element x y z (fractional)
Sn1 0.9971 0.0115 0.6575
Sn2 0.3320 0.3352 0.1143
Sn3 0.0029 0.9885 0.3425
Sn4 0.6680 0.6648 0.8857
Li1 0.6708 0.6586 0.5596
Li2 0.0000 0.0000 0.0000
Li3 0.3292 0.3414 0.4404
Ag1 0.3269 0.3433 0.7600
Ag2 0.6731 0.6567 0.2400

Properties
calculated volume	20.849	Å³ per atom
energy of formation from the pure elements	-1.7	eV per formula unit
space-group type	No. 2

***

[3]
Entry from Alexandria: an optimized crystal structure of CdPtCl2 (GGA-PBE).

Lattice parameters (Å, degrees): 8.5191 8.5191 8.5191 24.31 24.31 24.31
Element x y z (fractional)
Pt1 0.0000 0.0000 0.0000
Cd1 0.5000 0.5000 0.5000
Cl1 0.9075 0.9075 0.9075
Cl2 0.0925 0.0925 0.0925

Properties
calculated volume	23.023	Å³ per atom
formation energy (no corrections)	-0.072	eV per atom
space-group type	No. 166

***

[4]
Entry from Alexandria: an optimized crystal structure of Cs3Pr2TmSe6 (GGA-PBE).

Lattice parameters (Å, degrees): 7.5581 7.5581 8.7708 98.27 98.27 120.00
Element x y z (fractional)
Se1 0.0628 0.3836 0.1884
Se2 0.9372 0.6164 0.8116
Se3 0.2575 0.2575 0.8106
Se4 0.6164 0.9372 0.8116
Se5 0.7425 0.7425 0.1894
Se6 0.3836 0.0628 0.1884
Pr1 0.6665 0.3335 0.0000
Pr2 0.3335 0.6665 0.0000
Cs1 0.8309 0.1691 0.5000
Cs2 0.5000 0.5000 0.5000
Cs3 0.1691 0.8309 0.5000
Tm1 0.0000 0.0000 0.0000

Properties
calculated volume	34.633	Å³ per atom
formation energy (no corrections)	-1.716	eV per atom
space-group type	No. 12